VASP calculation (PBE) on LaPr2Sb3Rh4 after structural relaxation.

a b c (Å): 4.5191 4.5191 11.3210
angles (deg): 90.00 90.00 90.00
Space group P-4m2 (No. 115)
Inequivalent atoms, fractional coordinates:
La 0.0000 0.0000 0.0000 x1
Pr 0.0000 0.5000 0.7165 x2
Sb 0.0000 0.5000 0.3730 x2
Sb 0.5000 0.5000 0.0000 x1
Rh 0.0000 0.0000 0.5000 x1
Rh 0.0000 0.5000 0.1457 x2
Rh 0.5000 0.5000 0.5000 x1

As for the total magnetic moment: 0.1 μB/cell. For the raw total energy, the calculation gives -64.5 eV per cell. Its uncorrected formation energy is -79.4 kJ per mole of atoms.